Density functional theory data (PBE) for a geometry-optimized Fe2CoPd structure.

Cell: 3.5874 3.7634 3.7634 Å, 90.00 90.00 90.00°
Each line ends with the local moment (μB).
Fractional positions:
1 Pd 0.5000 0.0000 0.0000  0.32
2 Fe 0.0000 0.5000 0.0000  2.82
3 Fe 0.0000 0.0000 0.5000  2.82
4 Co 0.5000 0.5000 0.5000  1.67

Summary:
The formation energy comes out at 0.0281 eV per atom. As for the crystal system: tetragonal. The value obtained for the volume is 51 Å³ per cell.

***

Density functional theory data (PBE) for a geometry-optimized FeCoPd2 structure.

Cell: 3.7733 3.8044 3.8044 Å, 90.00 90.00 90.00°
Each line ends with the local moment (μB).
Fractional positions:
1 Pd 0.0000 0.5000 0.0000  0.41
2 Pd 0.0000 0.0000 0.5000  0.41
3 Co 0.5000 0.0000 0.0000  1.92
4 Fe 0.5000 0.5000 0.5000  3.13

Summary:
The formation energy comes out at -0.0159 eV per atom. As for the crystal system: tetragonal. The value obtained for the volume is 55 Å³ per cell.

***

Density functional theory data (PBE) for a geometry-optimized Fe4CoPd5 structure.

Cell: 3.8265 6.3709 7.0060 Å, 115.48 105.85 90.00°
Each line ends with the local moment (μB).
Fractional positions:
1 Co 0.5000 0.0000 0.0000  1.82
2 Pd 0.5000 0.5000 0.0000  0.36
3 Pd 0.8323 0.3667 0.6646  0.34
4 Pd 0.8308 0.7868 0.6616  0.35
5 Pd 0.1677 0.6333 0.3353  0.34
6 Pd 0.1692 0.2132 0.3384  0.35
7 Fe 0.0206 0.7886 0.0412  3.00
8 Fe 0.3267 0.0696 0.6533  2.93
9 Fe 0.6733 0.9304 0.3466  2.93
10 Fe 0.9794 0.2114 0.9588  3.00

Summary:
The formation energy comes out at 0.1011 eV per atom. As for the crystal system: monoclinic. The value obtained for the volume is 147 Å³ per cell.

***

Density functional theory data (PBE) for a geometry-optimized FeCoPd6 structure.

Cell: 3.8769 3.8769 7.7762 Å, 90.00 90.00 90.00°
Each line ends with the local moment (μB).
Fractional positions:
1 Pd 0.5000 0.5000 0.0000  0.32
2 Pd 0.0000 0.5000 0.7497  0.31
3 Pd 0.5000 0.0000 0.2503  0.31
4 Pd 0.5000 0.5000 0.5000  0.31
5 Pd 0.0000 0.5000 0.2503  0.31
6 Pd 0.5000 0.0000 0.7497  0.31
7 Co 0.0000 0.0000 0.5000  2.03
8 Fe 0.0000 0.0000 0.0000  3.27

Summary:
The formation energy comes out at -0.0097 eV per atom. As for the crystal system: tetragonal. The value obtained for the volume is 117 Å³ per cell.

***

Density functional theory data (PBE) for a geometry-optimized FeCoPd structure.

Cell: 2.5870 4.1666 4.1666 Å, 120.00 90.00 90.00°
Each line ends with the local moment (μB).
Fractional positions:
1 Fe 0.1667 0.0000 0.0000  2.82
2 Pd 0.6666 0.6667 0.3333  0.32
3 Co 0.1667 0.3333 0.6667  1.78

Summary:
The formation energy comes out at 0.0548 eV per atom. As for the crystal system: hexagonal. The value obtained for the volume is 39 Å³ per cell.

***

Density functional theory data (PBE) for a geometry-optimized FeCoPd2 structure.

Cell: 4.1979 4.1979 4.1979 Å, 60.00 60.00 60.00°
Fractional positions:
1 Pd 0.7500 0.7500 0.7500
2 Pd 0.2500 0.2500 0.2500
3 Fe 0.0000 0.0000 0.0000
4 Co 0.5000 0.5000 0.5000

Summary:
The formation energy comes out at 0.4558 eV per atom. As for the crystal system: cubic. The value obtained for the volume is 52 Å³ per cell.

***

Density functional theory data (PBE) for a geometry-optimized FeCoPd structure.

Cell: 2.9046 2.9046 5.0615 Å, 106.67 106.67 90.00°
Each line ends with the local moment (μB).
Fractional positions:
1 Fe 0.6826 0.6826 0.3651  2.89
2 Pd 0.0015 0.0015 0.0031  0.28
3 Co 0.3159 0.3159 0.6318  1.76

Summary:
The formation energy comes out at 0.0219 eV per atom. As for the crystal system: tetragonal. The value obtained for the volume is 39 Å³ per cell.

***

Density functional theory data (PBE) for a geometry-optimized Fe4CoPd structure.

Cell: 4.6832 4.6832 4.6832 Å, 60.00 60.00 60.00°
Each line ends with the local moment (μB).
Fractional positions:
1 Co 0.2500 0.2500 0.2500  1.72
2 Fe 0.1263 0.6246 0.6246  1.99
3 Fe 0.6246 0.1263 0.6246  1.99
4 Fe 0.6246 0.6246 0.1263  1.99
5 Fe 0.6246 0.6246 0.6246  1.99
6 Pd 0.0000 0.0000 0.0000  0.29

Summary:
The formation energy comes out at 0.1153 eV per atom. As for the crystal system: cubic. The value obtained for the volume is 73 Å³ per cell.

***

Asked for E across the records above, the calculation gives -7.278, -6.504, -6.591, -5.850, -6.866, -6.033, -6.899, -7.576 eV per atom in order.
Asked for DOS at the Fermi energy across the records above, the calculation gives 1.01, 0.93, 0.77, 1.54, 0.53, 1.96, 1.00, 0.59 states/eV per atom in order.